First-principles (PBE) data for a relaxed structure of LaFe2Sb, as listed in the Alexandria database.

Results
As for the space group: No. 12. As for the electronic total energy: -24.581 eV per formula unit. For the raw formation energy, the calculation gives 0.3484 eV/atom.

a b c (Å): 5.347 5.347 3.926
angles (deg): 110.64 110.64 108.40
Sites, in units of the cell vectors:
La 0.000 0.000 0.000
Fe 0.000 0.500 0.500
Fe 0.500 0.000 0.500
Sb 0.500 0.500 0.000


First-principles (PBE) data for a relaxed structure of BaMn, as listed in the Alexandria database.

Results
As for the space group: No. 136. As for the electronic total energy: -9.461 eV per formula unit. The calculation puts the energy relative to the elements at 0.815 eV per atom.

a b c (Å): 6.787 6.787 6.711
angles (deg): 90.00 90.00 90.00
Sites, in units of the cell vectors:
Ba 0.187 0.187 0.000
Ba 0.313 0.687 0.500
Ba 0.687 0.313 0.500
Ba 0.813 0.813 0.000
Mn 0.134 0.134 0.500
Mn 0.366 0.634 0.000
Mn 0.634 0.366 0.000
Mn 0.866 0.866 0.500


First-principles (PBE) data for a relaxed structure of Sc2TlPd, as listed in the Alexandria database.

Results
As for the space group: No. 160. As for the electronic total energy: -21.763 eV per formula unit. The calculation puts the energy relative to the elements at -0.385 eV per atom.

a b c (Å): 8.533 8.533 8.533
angles (deg): 24.20 24.20 24.20
Sites, in units of the cell vectors:
Sc 0.000 0.000 0.000
Sc 0.195 0.195 0.195
Tl 0.765 0.765 0.765
Pd 0.598 0.598 0.598


First-principles (PBE) data for a relaxed structure of La2Pm6PrTm3, as listed in the Alexandria database.

Results
As for the space group: No. 12. As for the electronic total energy: -56.270 eV per formula unit. The calculation puts the energy relative to the elements at 0.024 eV per atom.

a b c (Å): 6.303 6.303 12.015
angles (deg): 95.02 95.02 120.04
Sites, in units of the cell vectors:
La 0.167 0.833 0.000
La 0.833 0.167 0.000
Pm 0.080 0.414 0.743
Pm 0.253 0.253 0.257
Pm 0.414 0.080 0.743
Pm 0.586 0.920 0.257
Pm 0.747 0.747 0.743
Pm 0.920 0.586 0.257
Pr 0.500 0.500 0.000
Tm 0.000 0.000 0.500
Tm 0.333 0.667 0.500
Tm 0.667 0.333 0.500


First-principles (PBE) data for a relaxed structure of HfZn2CoS, as listed in the Alexandria database.

Results
As for the space group: No. 123. As for the electronic total energy: -23.000 eV per formula unit. For the raw formation energy, the calculation gives 0.1469 eV/atom.

a b c (Å): 4.479 4.479 4.674
angles (deg): 90.00 90.00 90.00
Sites, in units of the cell vectors:
Hf 0.000 0.000 0.000
Zn 0.000 0.500 0.500
Zn 0.500 0.000 0.500
Co 0.000 0.000 0.500
S 0.500 0.500 0.000


First-principles (PBE) data for a relaxed structure of NpAl4Ag, as listed in the Alexandria database.

Results
As for the space group: No. 216. As for the electronic total energy: -30.107 eV per formula unit. The distance to the lowest polymorph of the same formula comes out at 95 meV/atom. The calculation puts the energy relative to the elements at 0.109 eV per atom.

a b c (Å): 5.462 5.462 5.462
angles (deg): 60.00 60.00 60.00
Sites, in units of the cell vectors:
Np 0.000 0.000 0.000
Al 0.374 0.374 0.374
Al 0.374 0.374 0.878
Al 0.374 0.878 0.374
Al 0.878 0.374 0.374
Ag 0.750 0.750 0.750


First-principles (PBE) data for a relaxed structure of La3TlN, as listed in the Alexandria database.

Results
As for the space group: No. 176. As for the electronic total energy: -29.337 eV per formula unit. For the raw formation energy, the calculation gives -0.7725 eV/atom.

a b c (Å): 7.198 7.198 6.159
angles (deg): 90.00 90.00 120.00
Sites, in units of the cell vectors:
La 0.157 0.324 0.250
La 0.167 0.843 0.250
La 0.324 0.167 0.750
La 0.676 0.833 0.250
La 0.833 0.157 0.750
La 0.843 0.676 0.750
Tl 0.333 0.667 0.750
Tl 0.667 0.333 0.250
N 0.000 0.000 0.000
N 0.000 0.000 0.500


First-principles (PBE) data for a relaxed structure of LaGaCuNi6, as listed in the Alexandria database.

Results
As for the space group: No. 74. As for the electronic total energy: -45.354 eV per formula unit. The calculation puts the energy relative to the elements at 0.154 eV per atom.

a b c (Å): 7.214 7.214 7.214
angles (deg): 127.25 106.90 95.97
Sites, in units of the cell vectors:
La 0.480 0.230 0.250
La 0.520 0.770 0.750
Ga 0.000 0.000 0.000
Ga 0.500 0.000 0.500
Cu 0.000 0.000 0.500
Cu 0.000 0.500 0.000
Ni 0.114 0.443 0.301
Ni 0.114 0.812 0.671
Ni 0.173 0.923 0.250
Ni 0.231 0.481 0.750
Ni 0.359 0.188 0.801
Ni 0.359 0.557 0.171
Ni 0.641 0.443 0.829
Ni 0.641 0.812 0.199
Ni 0.769 0.519 0.250
Ni 0.827 0.077 0.750
Ni 0.886 0.188 0.329
Ni 0.886 0.557 0.699


First-principles (PBE) data for a relaxed structure of CdPd, as listed in the Alexandria database.

Results
As for the space group: No. 123. As for the electronic total energy: -6.925 eV per formula unit. The calculation puts the energy relative to the elements at -0.409 eV per atom.

a b c (Å): 3.038 3.038 3.788
angles (deg): 90.00 90.00 90.00
Sites, in units of the cell vectors:
Cd 0.000 0.000 0.000
Pd 0.500 0.500 0.500


First-principles (PBE) data for a relaxed structure of TmZrSc2Rh4, as listed in the Alexandria database.

Results
As for the space group: No. 166. As for the electronic total energy: -62.648 eV per formula unit. The calculation puts the energy relative to the elements at -0.945 eV per atom.

a b c (Å): 8.064 8.064 8.064
angles (deg): 33.52 33.52 33.52
Sites, in units of the cell vectors:
Tm 0.000 0.000 0.000
Zr 0.500 0.500 0.500
Sc 0.250 0.250 0.250
Sc 0.750 0.750 0.750
Rh 0.128 0.128 0.128
Rh 0.378 0.378 0.378
Rh 0.622 0.622 0.622
Rh 0.872 0.872 0.872


Question: electronic total energy of number 5 (HfZn2CoS)?
Answer: -23.000 eV per formula unit


Question: Which of these has the lowest electronic total energy?
Answer: TmZrSc2Rh4